1.
DFT (PBE-GGA) results for an optimized crystal structure of YPd3.

POSCAR file:
```
YPd3
1.0
4.1351 0.0000 0.6535
-0.1033 4.1338 0.6535
0.7666 0.7860 8.5585
Pd Y
6 2
direct
0.1258 0.1258 0.7483
0.7500 0.2500 0.5000
0.2500 0.7500 0.5000
0.8742 0.8742 0.2517
0.5000 0.0000 0.0000
0.0000 0.5000 0.0000
0.3750 0.3750 0.2500
0.6250 0.6250 0.7500
```

Summary:
magnetization	0.0	μB per formula unit
formation energy	-0.812	eV/atom

***

2.
DFT (PBE-GGA) results for an optimized crystal structure of Y3Pd.

POSCAR file:
```
Y3Pd
1.0
-1.5906 2.8216 -1.6864
-0.9961 -2.1350 -2.6326
-7.8835 -1.7925 4.4367
Pd Y
1 3
direct
0.0000 0.0000 0.9874
0.5000 0.5000 0.1329
0.5000 0.0000 0.7449
0.0000 0.5000 0.4681
```

Summary:
magnetization	0.4	μB per formula unit
formation energy	-0.210	eV/atom

***

3.
DFT (PBE-GGA) results for an optimized crystal structure of YPd.

POSCAR file:
```
YPd
1.0
8.4332 0.0000 0.0000
0.0000 8.4332 0.0000
0.0000 0.0000 8.4332
Pd Y
8 8
direct
0.6195 0.3805 0.6195
0.3805 0.3805 0.3805
0.8805 0.1195 0.1195
0.1195 0.8805 0.1195
0.8805 0.8805 0.8805
0.6195 0.6195 0.3805
0.1195 0.1195 0.8805
0.3805 0.6195 0.6195
0.3041 0.6959 0.3041
0.1959 0.1959 0.1959
0.6959 0.3041 0.3041
0.6959 0.6959 0.6959
0.3041 0.3041 0.6959
0.8041 0.8041 0.1959
0.1959 0.8041 0.8041
0.8041 0.1959 0.8041
```

Summary:
magnetization	0.0	μB per formula unit
formation energy	-0.053	eV/atom

***

4.
DFT (PBE-GGA) results for an optimized crystal structure of Y3Pd.

POSCAR file:
```
Y3Pd
1.0
6.1706 -0.0038 -0.0041
3.0801 8.4307 0.0049
3.0797 0.0050 8.4306
Y Pd
12 4
direct
0.6472 0.1910 0.9997
0.8562 0.6428 0.6434
0.5005 0.3565 0.6429
0.4134 0.5948 0.0003
0.5861 0.0007 0.4052
0.4999 0.6436 0.3569
0.1616 0.0004 0.1912
0.1433 0.3571 0.3567
0.8379 0.8088 0.0005
0.9916 0.9995 0.5946
0.3533 0.9994 0.8090
0.0090 0.4054 0.9994
0.9997 0.7062 0.2947
0.7056 0.2948 0.2938
0.0006 0.2936 0.7055
0.2942 0.7053 0.7060
```

Summary:
magnetization	0.0	μB per formula unit
formation energy	-0.404	eV/atom

***

5.
DFT (PBE-GGA) results for an optimized crystal structure of YPd.

POSCAR file:
```
YPd
1.0
5.7846 0.0000 0.0000
0.0000 5.7846 0.0000
0.0000 0.0000 5.7682
Pd Y
4 4
direct
0.2222 0.7778 0.5000
0.7778 0.2222 0.5000
0.2778 0.2778 0.0000
0.7222 0.7222 0.0000
0.7746 0.2254 0.0000
0.2254 0.7746 0.0000
0.7254 0.7254 0.5000
0.2746 0.2746 0.5000
```

Summary:
magnetization	0.0	μB per formula unit
formation energy	-0.717	eV/atom

***

6.
DFT (PBE-GGA) results for an optimized crystal structure of Y3Pd.

POSCAR file:
```
Y3Pd
1.0
3.6911 0.0000 0.0000
0.0000 5.3578 0.0000
-1.8456 -2.6789 5.4968
Pd Y
1 3
direct
0.0000 0.9172 0.0000
0.5000 0.4165 0.0000
0.7034 0.1199 0.4068
0.2966 0.7131 0.5932
```

Summary:
magnetization	0.0	μB per formula unit
formation energy	-0.408	eV/atom

***

7.
DFT (PBE-GGA) results for an optimized crystal structure of Y3Pd2.

POSCAR file:
```
Y3Pd2
1.0
-0.6352 -0.9930 7.4193
5.8274 -4.1306 2.3272
4.9009 4.5589 3.4109
Pd Y
6 9
direct
0.9574 0.5901 0.1590
0.8410 0.0426 0.4099
0.4099 0.8410 0.0426
0.1590 0.9574 0.5901
0.0426 0.4099 0.8410
0.5901 0.1590 0.9574
0.3948 0.1709 0.6569
0.8291 0.3431 0.6052
0.1709 0.6569 0.3948
0.3431 0.6052 0.8291
0.6052 0.8291 0.3431
0.2047 0.2047 0.2047
0.0000 0.0000 0.0000
0.7953 0.7953 0.7953
0.6569 0.3948 0.1709
```

Summary:
magnetization	0.0	μB per formula unit
formation energy	-0.727	eV/atom

***

8.
DFT (PBE-GGA) results for an optimized crystal structure of Y2Pd3.

POSCAR file:
```
Y2Pd3
1.0
-3.6636 2.0246 3.9645
-0.1330 -5.3660 2.6175
6.9703 3.4005 0.5127
Y Pd
4 6
direct
0.3412 0.0807 0.6823
0.8412 0.6016 0.6823
0.1588 0.3984 0.3177
0.6588 0.9193 0.3177
0.8785 0.1696 0.7570
0.2500 0.0000 0.0000
0.7500 0.0000 0.0000
0.6215 0.4127 0.2430
0.1215 0.8304 0.2430
0.3785 0.5873 0.7570
```

Summary:
magnetization	0.0	μB per formula unit
formation energy	-0.727	eV/atom

***

9.
DFT (PBE-GGA) results for an optimized crystal structure of YPd.

POSCAR file:
```
YPd
1.0
-1.0437 3.0259 -8.4240
-8.9483 -0.1477 1.0556
0.1103 4.3285 1.5411
Y Pd
8 8
direct
0.4999 0.2173 0.0000
0.9999 0.7173 0.5000
0.5001 0.7827 0.0000
0.7173 0.0001 0.5000
0.7827 0.4999 0.0000
0.0001 0.2827 0.5000
0.2173 0.5001 0.0000
0.2827 0.9999 0.5000
0.6692 0.6691 0.5000
0.8309 0.1692 0.0000
0.3308 0.3309 0.5000
0.1692 0.1691 0.0000
0.1691 0.8308 0.0000
0.3309 0.6692 0.5000
0.8308 0.8309 0.0000
0.6691 0.3308 0.5000
```

Summary:
magnetization	0.0	μB per formula unit
formation energy	-0.699	eV/atom

***

10.
DFT (PBE-GGA) results for an optimized crystal structure of Y5Pd2.

POSCAR file:
```
Y5Pd2
1.0
-3.9578 1.8191 4.9332
-0.6493 -6.7752 1.9774
8.6234 0.8190 2.2268
Y Pd
10 4
direct
0.0175 0.0714 0.8096
0.7872 0.3092 0.4403
0.7920 0.5714 0.8096
0.5680 0.2500 0.0000
0.2128 0.6908 0.5597
0.2080 0.4286 0.1904
0.3469 0.1908 0.5597
0.6531 0.8092 0.4403
0.4320 0.7500 0.0000
0.9825 0.9286 0.1904
0.5924 0.9314 0.7786
0.1862 0.4314 0.7786
0.8138 0.5686 0.2214
0.4076 0.0686 0.2214
```

Summary:
magnetization	0.0	μB per formula unit
formation energy	-0.527	eV/atom

***

11.
DFT (PBE-GGA) results for an optimized crystal structure of YPd.

POSCAR file:
```
YPd
1.0
-3.4610 -1.0036 -3.2686
3.3574 -3.3470 1.0934
-3.3673 -2.0113 4.1831
Y Pd
2 2
direct
0.6667 0.3333 0.7500
0.3333 0.6667 0.2500
0.3333 0.6667 0.7500
0.6667 0.3333 0.2500
```

Summary:
magnetization	0.0	μB per formula unit
formation energy	-0.432	eV/atom

***

12.
DFT (PBE-GGA) results for an optimized crystal structure of Y2Pd13.

POSCAR file:
```
Y2Pd13
1.0
7.3667 0.0000 0.0000
3.6833 6.3797 0.0000
3.6833 2.1266 6.7003
Pd Y
13 2
direct
0.4827 0.4827 0.1796
0.5173 0.5173 0.8204
0.5000 0.5000 0.5000
0.4827 0.8550 0.1796
0.8885 0.2595 0.5924
0.1115 0.7405 0.4076
0.7405 0.7405 0.4076
0.5173 0.1450 0.8204
0.2595 0.2595 0.5924
0.1450 0.5173 0.8204
0.2595 0.8885 0.5924
0.8550 0.4827 0.1796
0.7405 0.1115 0.4076
0.7418 0.7418 0.7745
0.2582 0.2582 0.2255
```

Summary:
magnetization	0.0	μB per formula unit
formation energy	-0.002	eV/atom